1.
VASP calculation (PBE-GGA) on AsPtAu after structural relaxation.

The structure belongs to space group P3m1 (No. 156); the cell edges are 3.5077, 3.5077 and 5.4318 Å and the angles 90.00°, 90.00° and 120.00°. The asymmetric unit holds As at (0.0000, 0.0000, 0.0000), Pt at (0.3333, 0.6667, 0.7414) and Au at (0.6667, 0.3333, 0.3925).

For the formation energy, the calculation gives -0.054 eV/atom. The energy above the most stable polymorph in this dataset comes out at 0 meV per atom.

---

2.
VASP calculation (PBE-GGA) on TlH2Pd6 after structural relaxation.

The structure belongs to space group C2/m (No. 12); the cell edges are 9.3446, 2.9514 and 9.1545 Å and the angles 90.00°, 99.46° and 90.00°. The asymmetric unit holds Tl at (0.0000, 0.0000, 0.0000), H at (0.1283, 0.0000, 0.6787), Pd at (0.0622, 0.0000, 0.3037), Pd at (0.1498, 0.5000, 0.5678) and Pd at (0.2482, 0.0000, 0.8589).

As for the final energy: -4.55 eV per atom.

---

3.
VASP calculation (PBE-GGA) on MnVCo5 after structural relaxation.

The structure belongs to space group P4/mmm (No. 123); the cell edges are 3.6050, 3.6050 and 6.2248 Å and the angles 90.00°, 90.00° and 90.00°. The asymmetric unit holds Mn at (0.0000, 0.0000, 0.0000), V at (0.5000, 0.5000, 0.5000), Co at (0.0000, 0.0000, 0.5000) and Co at (0.0000, 0.5000, 0.2228).

For the formation energy, the calculation gives 0.225 eV/atom.

---

Number 1: magnetization 0.000 Bohr magnetons per cell. Number 2: magnetization 0.000 Bohr magnetons per cell. Number 3: magnetization 1.958 Bohr magnetons per cell.